# LiNi3Hg (PBE-GGA, optimized geometry)
data_LiNi3Hg
_cell_length_a 4.040
_cell_length_b 4.040
_cell_length_c 4.040
_cell_angle_alpha 90.00
_cell_angle_beta 90.00
_cell_angle_gamma 90.00
_symmetry_space_group_name_H-M 'P 1'
_symmetry_Int_Tables_number 1
loop_
_symmetry_equiv_pos_as_xyz
'x,y,z'
loop_
_atom_site_label
_atom_site_fract_x
_atom_site_fract_y
_atom_site_fract_z
Li1 0.000 0.000 0.000
Ni1 0.000 0.000 0.500
Ni2 0.000 0.500 0.000
Ni3 0.500 0.000 0.000
Hg1 0.500 0.500 0.500
# DOS(E_F), states/eV/atom: 0.665
# Formation energy, meV per atom: 644
# Magnetic moment, μB/atom: 0.00
# Crystal system: cubic